[1]
Here is crystalline TlWSe2 at its relaxed geometry from the Alexandria database. Energies are from PBE.

## Properties
For the calculated density, the calculation gives 9.45 g/cm³. The total moment is 0.00 Bohr magnetons per cell. Its formation energy from raw total energies is -44 meV/atom. The polymorph energy (0 for the lowest one) comes out at 0.64 eV per formula unit.

abc: 3.2241 3.2873 18.1157
angles: 90.00 90.00 90.00
Positions (direct):
Tl 0.0000 0.0000 0.0000
Tl 0.5000 0.5000 0.5000
W 0.0000 0.5000 0.7430
W 0.5000 0.0000 0.2430
Se 0.0000 0.0000 0.3468
Se 0.0000 0.5000 0.1718
Se 0.5000 0.0000 0.6718
Se 0.5000 0.5000 0.8468



[2]
Here is crystalline Tb3Pm8Tm3 at its relaxed geometry from the Alexandria database. Energies are from PBE.

## Properties
For the calculated density, the calculation gives 7.66 g/cm³. The total moment is 0.00 Bohr magnetons per cell. The value obtained for the total DFT energy (no corrections) is -4.559 eV/atom.

abc: 9.7229 9.7229 9.7229
angles: 146.14 112.04 78.13
Positions (direct):
Tb 0.0000 0.0000 0.0000
Tb 0.1797 0.6797 0.5000
Tb 0.8203 0.3203 0.5000
Pm 0.1185 0.2764 0.8421
Pm 0.2344 0.8966 0.3378
Pm 0.4343 0.2764 0.1579
Pm 0.4412 0.1034 0.3378
Pm 0.5588 0.8966 0.6622
Pm 0.5657 0.7236 0.8421
Pm 0.7656 0.1034 0.6622
Pm 0.8815 0.7236 0.1579
Tm 0.1995 0.5000 0.6995
Tm 0.5000 0.5000 0.0000
Tm 0.8005 0.5000 0.3005



[3]
Here is crystalline La8Sn2Ru at its relaxed geometry from the Alexandria database. Energies are from PBE.

## Properties
For the calculated density, the calculation gives 6.98 g/cm³. The total moment is 0.00 Bohr magnetons per cell. The value obtained for the total DFT energy (no corrections) is -5.549 eV/atom.

abc: 9.6552 9.6552 7.0464
angles: 110.39 110.39 34.31
Positions (direct):
La 0.0005 0.0005 0.2303
La 0.9995 0.9995 0.7697
La 0.2092 0.2092 0.2430
La 0.3601 0.3601 0.0898
La 0.4029 0.4029 0.5997
La 0.5971 0.5971 0.4003
La 0.6399 0.6399 0.9102
La 0.7908 0.7908 0.7570
Sn 0.1775 0.1775 0.6907
Sn 0.8225 0.8225 0.3093
Ru 0.5000 0.5000 0.0000



[4]
Here is crystalline Ba2CdHgS at its relaxed geometry from the Alexandria database. Energies are from PBE.

## Properties
For the calculated density, the calculation gives 5.35 g/cm³. The total moment is 0.00 Bohr magnetons per cell. Its formation energy from raw total energies is -652 meV/atom.

abc: 6.1000 6.1000 5.1672
angles: 90.00 90.00 90.00
Positions (direct):
Ba 0.0000 0.5000 0.0000
Ba 0.5000 0.0000 0.0000
Cd 0.0000 0.0000 0.5000
Hg 0.5000 0.5000 0.5000
S 0.0000 0.0000 0.0000